Record 1
Density functional theory data (PBE) for an optimized crystal structure of LaZrMn2.

Cell: 6.775 6.775 6.775 Å, 90.00 90.00 90.00°
Space group F-43m (No. 216)
Inequivalent atoms, fractional coordinates:
La  0.000  0.000  0.000 (multiplicity 4)
Zr  0.250  0.250  0.750 (multiplicity 4)
Mn  0.000  0.000  0.500 (multiplicity 4)
Mn  0.250  0.250  0.250 (multiplicity 4)

Computed properties:
- spin magnetization (Bohr magnetons per cell) = 3.3
- excess energy over the best structure of this formula in the dataset (meV per atom) = 299


Record 2
Density functional theory data (PBE) for an optimized crystal structure of Tl3Zn.

Cell: 4.407 5.315 9.348 Å, 90.00 90.00 90.00°
Space group Cmmm (No. 65)
Inequivalent atoms, fractional coordinates:
Tl  0.000  0.000  0.000 (multiplicity 2)
Tl  0.000  0.500  0.286 (multiplicity 4)
Zn  0.000  0.000  0.500 (multiplicity 2)

Computed properties:
- spin magnetization (Bohr magnetons per cell) = 0.0
- energy (eV per atom) = -1.998


Record 3
Density functional theory data (PBE) for an optimized crystal structure of Sm7Dy2Ho3.

Cell: 5.754 37.999 3.617 Å, 90.00 90.00 90.00°
Space group Cmmm (No. 65)
Inequivalent atoms, fractional coordinates:
Sm  0.000  0.000  0.000 (multiplicity 2)
Sm  0.000  0.072  0.500 (multiplicity 4)
Sm  0.000  0.232  0.000 (multiplicity 4)
Sm  0.000  0.408  0.000 (multiplicity 4)
Dy  0.000  0.149  0.000 (multiplicity 4)
Ho  0.000  0.315  0.500 (multiplicity 4)
Ho  0.000  0.500  0.500 (multiplicity 2)

Computed properties:
- spin magnetization (Bohr magnetons per cell) = 0.0
- excess energy over the best structure of this formula in the dataset (meV per atom) = 41


Record 4
Density functional theory data (PBE) for an optimized crystal structure of ReTeCl2.

Cell: 4.369 4.369 4.701 Å, 90.00 90.00 90.00°
Space group P4/mmm (No. 123)
Inequivalent atoms, fractional coordinates:
Re  0.000  0.000  0.000 (multiplicity 1)
Te  0.500  0.500  0.000 (multiplicity 1)
Cl  0.000  0.500  0.500 (multiplicity 2)

Computed properties:
- spin magnetization (Bohr magnetons per cell) = 4.3
- formation energy without anion corrections (eV per atom) = 1.164
- excess energy over the best structure of this formula in the dataset (meV per atom) = 1243


Record 5
Density functional theory data (PBE) for an optimized crystal structure of TmHfOs.

Cell: 6.519 6.519 6.519 Å, 90.00 90.00 90.00°
Space group F-43m (No. 216)
Inequivalent atoms, fractional coordinates:
Tm  0.000  0.000  0.000 (multiplicity 4)
Hf  0.000  0.000  0.500 (multiplicity 4)
Os  0.250  0.250  0.250 (multiplicity 4)

Computed properties:
- spin magnetization (Bohr magnetons per cell) = 0.0
- excess energy over the best structure of this formula in the dataset (meV per atom) = 28


Record 6
Density functional theory data (PBE) for an optimized crystal structure of Zn2Ni9Sn.

Cell: 3.655 3.655 10.765 Å, 90.00 90.00 90.00°
Space group P4/mmm (No. 123)
Inequivalent atoms, fractional coordinates:
Zn  0.000  0.000  0.161 (multiplicity 2)
Ni  0.000  0.500  0.000 (multiplicity 2)
Ni  0.000  0.500  0.323 (multiplicity 4)
Ni  0.500  0.500  0.162 (multiplicity 2)
Ni  0.500  0.500  0.500 (multiplicity 1)
Sn  0.000  0.000  0.500 (multiplicity 1)

Computed properties:
- spin magnetization (Bohr magnetons per cell) = 2.8
- energy (eV per atom) = -5.006


Record 7
Density functional theory data (PBE) for an optimized crystal structure of AgP2Pb2.

Cell: 3.430 3.430 19.231 Å, 90.00 90.00 90.00°
Space group I4/mmm (No. 139)
Inequivalent atoms, fractional coordinates:
Ag  0.000  0.000  0.000 (multiplicity 2)
P  0.000  0.500  0.250 (multiplicity 4)
Pb  0.000  0.000  0.394 (multiplicity 4)

Computed properties:
- spin magnetization (Bohr magnetons per cell) = 0.0
- excess energy over the best structure of this formula in the dataset (meV per atom) = 0


Record 8
Density functional theory data (PBE) for an optimized crystal structure of KAgAu.

Cell: 5.864 5.956 8.243 Å, 90.00 90.00 90.00°
Space group Imma (No. 74)
Inequivalent atoms, fractional coordinates:
K  0.000  0.250  0.127 (multiplicity 4)
Ag  0.250  0.250  0.750 (multiplicity 4)
Au  0.000  0.000  0.500 (multiplicity 4)

Computed properties:
- spin magnetization (Bohr magnetons per cell) = 0.0
- excess energy over the best structure of this formula in the dataset (meV per atom) = 0


Record 9
Density functional theory data (PBE) for an optimized crystal structure of SmDy2Sc.

Cell: 6.055 6.968 6.972 Å, 60.09 73.37 89.91°
Space group P-1 (No. 2)
Inequivalent atoms, fractional coordinates:
Sm  0.245  0.374  0.252 (multiplicity 2)
Dy  0.250  0.372  0.751 (multiplicity 2)
Dy  0.250  0.877  0.750 (multiplicity 2)
Sc  0.257  0.877  0.245 (multiplicity 2)

Computed properties:
- spin magnetization (Bohr magnetons per cell) = 0.0
- excess energy over the best structure of this formula in the dataset (meV per atom) = 9


Record 10
Density functional theory data (PBE) for an optimized crystal structure of CrIrRuRh.

Cell: 3.809 3.809 7.551 Å, 90.00 90.00 90.00°
Space group I-4m2 (No. 119)
Inequivalent atoms, fractional coordinates:
Cr  0.000  0.000  0.000 (multiplicity 2)
Ir  0.000  0.500  0.250 (multiplicity 2)
Ru  0.000  0.500  0.750 (multiplicity 2)
Rh  0.000  0.000  0.500 (multiplicity 2)

Computed properties:
- spin magnetization (Bohr magnetons per cell) = 1.8
- energy (eV per atom) = -8.833


Record 11
Density functional theory data (PBE) for an optimized crystal structure of SmEuAlSn.

Cell: 7.596 7.596 7.596 Å, 90.00 90.00 90.00°
Space group F-43m (No. 216)
Inequivalent atoms, fractional coordinates:
Sm  0.000  0.000  0.000 (multiplicity 4)
Eu  0.000  0.000  0.500 (multiplicity 4)
Al  0.250  0.250  0.750 (multiplicity 4)
Sn  0.250  0.250  0.250 (multiplicity 4)

Computed properties:
- spin magnetization (Bohr magnetons per cell) = 28.1
- energy (eV per atom) = -6.121


Record 12
Density functional theory data (PBE) for an optimized crystal structure of RbIn2HgAu.

Cell: 5.507 5.507 5.619 Å, 90.00 90.00 90.00°
Space group P4/mmm (No. 123)
Inequivalent atoms, fractional coordinates:
Rb  0.000  0.000  0.000 (multiplicity 1)
In  0.000  0.500  0.500 (multiplicity 2)
Hg  0.500  0.500  0.000 (multiplicity 1)
Au  0.500  0.500  0.500 (multiplicity 1)

Computed properties:
- spin magnetization (Bohr magnetons per cell) = 0.0
- excess energy over the best structure of this formula in the dataset (meV per atom) = 3